Density functional theory data (PBE) for crystalline SmY2ScAs4 at its relaxed geometry.

Geometry as POSCAR:
```
SmY2ScAs4
1.0
4.097 0.000 0.000
0.000 7.080 0.122
0.000 -2.478 6.642
Sm Y Sc As
1 2 1 4
Direct
0.500 0.500 0.000 Sm
0.500 0.000 0.500 Y
0.000 0.500 0.500 Y
0.000 0.000 0.000 Sc
0.500 0.238 0.242 As
0.500 0.762 0.758 As
0.000 0.241 0.751 As
0.000 0.759 0.249 As
```

## Properties
* raw total energy: -6.799 eV per atom
* crystal system: monoclinic
* M_tot: 0.0 Bohr magnetons per cell

Density functional theory data (PBE) for crystalline RbTbIn2Cl6 at its relaxed geometry.

Geometry as POSCAR:
```
RbTbIn2Cl6
1.0
7.888 0.005 0.001
3.948 6.830 0.002
3.946 2.279 6.703
Rb Tb In Cl
1 1 2 6
Direct
0.812 0.812 0.565 Rb
0.322 0.322 0.035 Tb
0.525 0.525 0.425 In
0.019 0.019 0.941 In
0.561 0.208 0.240 Cl
0.207 0.991 0.241 Cl
0.991 0.561 0.240 Cl
0.414 0.668 0.776 Cl
0.668 0.141 0.777 Cl
0.142 0.414 0.776 Cl
```

## Properties
* uncorrected formation energy: -1.66 eV/atom
* crystal system: triclinic
* M_tot: 0.0 Bohr magnetons per cell

Density functional theory data (PBE) for crystalline Hf2Ag2Sn at its relaxed geometry.

Geometry as POSCAR:
```
Hf2Ag2Sn
1.0
7.869 0.000 0.000
0.000 7.869 0.000
0.000 0.000 3.523
Hf Sn Ag
4 2 4
Direct
0.338 0.838 0.000 Hf
0.838 0.662 0.000 Hf
0.662 0.162 0.000 Hf
0.162 0.338 0.000 Hf
0.000 0.000 0.000 Sn
0.500 0.500 0.000 Sn
0.131 0.631 0.500 Ag
0.631 0.869 0.500 Ag
0.869 0.369 0.500 Ag
0.369 0.131 0.500 Ag
```

## Properties
* crystal system: tetragonal
* ΔE to the lowest computed polymorph: 0.138 eV per atom
* M_tot: 0.0 Bohr magnetons per cell

Density functional theory data (PBE) for crystalline LiSeCl2 at its relaxed geometry.

Geometry as POSCAR:
```
LiSeCl2
1.0
5.818 -0.092 0.017
-0.172 5.816 -0.017
-0.704 -4.952 2.974
Cl Li Se
2 1 1
Direct
0.973 0.973 0.000 Cl
0.527 0.527 0.000 Cl
0.750 0.250 0.500 Li
0.250 0.750 0.500 Se
```

## Properties
* uncorrected formation energy: -0.47 eV/atom
* crystal system: orthorhombic
* ΔE to the lowest computed polymorph: 0.331 eV per atom
* M_tot: 0.0 Bohr magnetons per cell

Density functional theory data (PBE) for crystalline Tl2Pb2Au at its relaxed geometry.

Geometry as POSCAR:
```
Tl2Pb2Au
1.0
-2.363 -5.916 -4.105
5.986 -4.015 2.341
-2.692 -1.690 3.985
Pb Tl Au
4 4 2
Direct
0.163 0.663 0.500 Pb
0.663 0.837 0.500 Pb
0.837 0.337 0.500 Pb
0.337 0.163 0.500 Pb
0.352 0.852 0.000 Tl
0.852 0.648 0.000 Tl
0.648 0.148 0.000 Tl
0.148 0.352 0.000 Tl
0.000 0.000 0.000 Au
0.500 0.500 0.000 Au
```

## Properties
* crystal system: tetragonal
* ΔE to the lowest computed polymorph: 0.095 eV per atom
* M_tot: 0.0 Bohr magnetons per cell

Density functional theory data (PBE) for crystalline Y6BeZn5 at its relaxed geometry.

Geometry as POSCAR:
```
Y6BeZn5
1.0
-2.873 3.316 2.448
-4.912 -0.440 -5.169
0.528 -7.066 5.036
Y Be Zn
6 1 5
Direct
0.836 0.590 0.673 Y
0.836 0.082 0.673 Y
0.500 0.758 0.000 Y
0.500 0.242 0.000 Y
0.164 0.918 0.327 Y
0.164 0.410 0.327 Y
0.000 0.000 0.000 Be
0.669 0.169 0.338 Zn
0.333 0.333 0.666 Zn
0.000 0.500 0.000 Zn
0.667 0.667 0.334 Zn
0.331 0.831 0.662 Zn
```

## Properties
* raw total energy: -4.354 eV per atom
* crystal system: orthorhombic
* M_tot: 0.0 Bohr magnetons per cell

Density functional theory data (PBE) for crystalline HoPuHgRu at its relaxed geometry.

Geometry as POSCAR:
```
HoPuHgRu
1.0
-1.875 2.737 -0.473
-1.376 -1.411 -2.710
-5.788 -3.173 4.590
Ho Pu Hg Ru
1 1 1 1
Direct
0.500 0.500 0.787 Ho
0.500 0.500 0.359 Pu
0.000 0.000 0.064 Hg
0.000 0.000 0.574 Ru
```

## Properties
* crystal system: tetragonal
* ΔE to the lowest computed polymorph: 0.000 eV per atom
* M_tot: 5.3 Bohr magnetons per cell

Density functional theory data (PBE) for crystalline PrMg3Ni8 at its relaxed geometry.

Geometry as POSCAR:
```
PrMg3Ni8
1.0
-2.201 2.966 3.248
-4.714 1.261 -0.621
-4.600 -5.038 5.207
Pr Mg Ni
1 3 8
Direct
0.876 0.876 0.371 Pr
0.373 0.373 0.882 Mg
0.005 0.005 0.985 Mg
0.490 0.490 0.529 Mg
0.943 0.440 0.176 Ni
0.431 0.938 0.694 Ni
0.440 0.440 0.176 Ni
0.938 0.938 0.694 Ni
0.187 0.187 0.439 Ni
0.688 0.688 0.935 Ni
0.440 0.943 0.176 Ni
0.938 0.431 0.694 Ni
```

## Properties
* raw total energy: -4.899 eV per atom
* crystal system: trigonal
* M_tot: 0.0 Bohr magnetons per cell

Density functional theory data (PBE) for crystalline AcLaThAg at its relaxed geometry.

Geometry as POSCAR:
```
AcLaThAg
1.0
5.659 0.000 0.000
2.829 4.901 0.000
2.829 1.634 4.620
Ac Ag Th La
1 1 1 1
Direct
0.750 0.750 0.750 Ac
0.250 0.250 0.250 Ag
0.000 0.000 0.000 Th
0.500 0.500 0.500 La
```

## Properties
* raw total energy: -4.608 eV per atom
* crystal system: cubic
* M_tot: 0.0 Bohr magnetons per cell

Density functional theory data (PBE) for crystalline Tc3IrRh at its relaxed geometry.

Geometry as POSCAR:
```
Tc3IrRh
1.0
4.635 0.000 0.000
0.000 4.635 0.000
0.000 0.000 4.635
Ir Rh Tc
1 1 3
Direct
0.000 0.000 0.000 Ir
0.500 0.500 0.500 Rh
0.000 0.500 0.000 Tc
0.000 0.000 0.500 Tc
0.500 0.000 0.000 Tc
```

## Properties
* crystal system: cubic
* ΔE to the lowest computed polymorph: 1.455 eV per atom
* M_tot: 0.0 Bohr magnetons per cell

Density functional theory data (PBE) for crystalline PrSm3Pb2 at its relaxed geometry.

Geometry as POSCAR:
```
PrSm3Pb2
1.0
-3.933 -6.524 0.983
-0.650 -0.746 -7.553
8.686 -0.244 3.117
Pr Sm Pb
2 6 4
Direct
0.000 0.500 0.000 Pr
0.000 0.000 0.000 Pr
0.500 0.250 0.000 Sm
0.500 0.750 0.000 Sm
0.788 0.038 0.576 Sm
0.212 0.462 0.424 Sm
0.212 0.962 0.424 Sm
0.788 0.538 0.576 Sm
0.541 0.358 0.715 Pb
0.826 0.142 0.285 Pb
0.174 0.858 0.715 Pb
0.459 0.642 0.285 Pb
```

## Properties
* crystal system: orthorhombic
* ΔE to the lowest computed polymorph: 0.238 eV per atom
* M_tot: 0.0 Bohr magnetons per cell

Density functional theory data (PBE) for crystalline LiCu2Cl at its relaxed geometry.

Geometry as POSCAR:
```
LiCu2Cl
1.0
-1.019 -3.745 -3.243
2.850 -2.828 3.076
-4.509 2.290 -0.066
Cl Cu Li
1 2 1
Direct
0.251 0.751 0.500 Cl
0.998 0.998 0.000 Cu
0.770 0.270 0.500 Cu
0.480 0.480 0.000 Li
```

## Properties
* uncorrected formation energy: -0.03 eV/atom
* crystal system: orthorhombic
* ΔE to the lowest computed polymorph: 0.421 eV per atom
* M_tot: 0.0 Bohr magnetons per cell

Density functional theory data (PBE) for crystalline SrMn2Sb at its relaxed geometry.

Geometry as POSCAR:
```
SrMn2Sb
1.0
-1.332 -3.592 4.038
-3.083 -0.628 -5.354
1.531 -2.443 -1.552
Mn Sb Sr
2 1 1
Direct
0.000 0.000 0.000 Mn
0.500 0.000 0.500 Mn
0.000 0.500 0.500 Sb
0.500 0.500 0.000 Sr
```

## Properties
* uncorrected formation energy: 0.46 eV/atom
* crystal system: monoclinic
* M_tot: 8.0 Bohr magnetons per cell

Density functional theory data (PBE) for crystalline Ti3Te2S4 at its relaxed geometry.

Geometry as POSCAR:
```
Ti3Te2S4
1.0
-2.012 2.745 0.377
-0.848 -2.449 -2.237
-10.892 -10.064 15.146
Ti Te S
3 2 4
Direct
0.000 0.000 0.975 Ti
0.000 0.000 0.331 Ti
0.667 0.333 0.652 Ti
0.667 0.333 0.067 Te
0.667 0.333 0.884 Te
0.000 0.000 0.583 S
0.667 0.333 0.401 S
0.667 0.333 0.261 S
0.000 0.000 0.723 S
```

## Properties
* uncorrected formation energy: -0.91 eV/atom
* crystal system: trigonal
* M_tot: 0.1 Bohr magnetons per cell

Density functional theory data (PBE) for crystalline SrLi at its relaxed geometry.

Geometry as POSCAR:
```
SrLi
1.0
5.368 0.000 0.000
2.684 4.649 0.000
2.684 1.550 4.383
Li Sr
1 1
Direct
0.000 0.000 0.000 Li
0.750 0.750 0.750 Sr
```

## Properties
* crystal system: cubic
* ΔE to the lowest computed polymorph: 0.610 eV per atom
* M_tot: 0.0 Bohr magnetons per cell

Density functional theory data (PBE) for crystalline LiMn2Rh2 at its relaxed geometry.

Geometry as POSCAR:
```
LiMn2Rh2
1.0
7.331 0.000 0.000
0.000 7.331 0.000
0.000 0.000 2.818
Mn Rh Li
4 4 2
Direct
0.155 0.655 0.500 Mn
0.655 0.845 0.500 Mn
0.845 0.345 0.500 Mn
0.345 0.155 0.500 Mn
0.358 0.858 0.000 Rh
0.858 0.642 0.000 Rh
0.642 0.142 0.000 Rh
0.142 0.358 0.000 Rh
0.000 0.000 0.000 Li
0.500 0.500 0.000 Li
```

## Properties
* crystal system: tetragonal
* ΔE to the lowest computed polymorph: 0.000 eV per atom
* M_tot: 14.9 Bohr magnetons per cell

Density functional theory data (PBE) for crystalline Tm3SbIr at its relaxed geometry.

Geometry as POSCAR:
```
Tm3SbIr
1.0
4.852 0.000 0.000
-2.426 7.264 -1.308
0.000 -3.236 8.043
Tm Sb Ir
6 2 2
Direct
0.927 0.855 0.780 Tm
0.073 0.145 0.220 Tm
0.599 0.199 0.792 Tm
0.401 0.801 0.208 Tm
0.748 0.497 0.234 Tm
0.252 0.503 0.766 Tm
0.355 0.710 0.517 Sb
0.645 0.290 0.483 Sb
0.163 0.326 0.998 Ir
0.837 0.674 0.002 Ir
```

## Properties
* uncorrected formation energy: -0.80 eV/atom
* crystal system: monoclinic
* M_tot: 0.0 Bohr magnetons per cell

Density functional theory data (PBE) for crystalline YMg2Co2 at its relaxed geometry.

Geometry as POSCAR:
```
YMg2Co2
1.0
-0.063 3.786 1.476
-2.304 1.183 -3.132
-5.746 1.278 2.073
Y Mg Co
1 2 2
Direct
0.000 0.000 0.000 Y
0.750 0.250 0.500 Mg
0.250 0.750 0.500 Mg
0.402 0.402 0.195 Co
0.598 0.598 0.805 Co
```

## Properties
* crystal system: tetragonal
* ΔE to the lowest computed polymorph: 0.000 eV per atom
* M_tot: 0.6 Bohr magnetons per cell

Density functional theory data (PBE) for crystalline CdOs2Ru at its relaxed geometry.

Geometry as POSCAR:
```
CdOs2Ru
1.0
2.740 0.009 0.000
-1.324 2.399 0.000
0.000 0.000 9.602
Cd Os Ru
1 2 1
Direct
0.500 0.500 0.750 Cd
0.000 0.000 0.016 Os
0.000 0.000 0.484 Os
0.500 0.500 0.250 Ru
```

## Properties
* raw total energy: -7.505 eV per atom
* crystal system: orthorhombic
* M_tot: 1.3 Bohr magnetons per cell

Density functional theory data (PBE) for crystalline FeHgP2Cl at its relaxed geometry.

Geometry as POSCAR:
```
FeHgP2Cl
1.0
4.325 0.000 0.000
0.000 4.325 0.000
0.000 0.000 5.148
P Cl Hg Fe
2 1 1 1
Direct
0.000 0.500 0.000 P
0.500 0.000 0.000 P
0.000 0.000 0.500 Cl
0.500 0.500 0.500 Hg
0.000 0.000 0.000 Fe
```

## Properties
* uncorrected formation energy: 0.30 eV/atom
* crystal system: tetragonal
* ΔE to the lowest computed polymorph: 0.000 eV per atom
* M_tot: 0.0 Bohr magnetons per cell